No. 1
! LaCoAs2 (PBE, relaxed); values from VASP
&SYSTEM
  ibrav = 0, nat = 4, ntyp = 3
/
ATOMIC_SPECIES
La 138.91 La.upf
Co 58.93 Co.upf
As 74.92 As.upf
CELL_PARAMETERS angstrom
-2.062 2.062 4.865
2.062 -2.062 4.865
2.062 2.062 -4.865
ATOMIC_POSITIONS crystal
La 0.000 0.000 0.000
Co 0.250 0.750 0.500
As 0.358 0.358 0.000
As 0.642 0.642 0.000
! energy relative to the elements = -0.83 eV per atom
! symmetry = I-4m2, No. 119
! total DFT energy (no corrections) = -24.7 eV for the cell shown
! crystal system = tetragonal
! total moment = 0.5 μB/f.u.
! DOS(E_F) = 2.667 states/eV per cell



No. 2
! LaCo4As12 (PBE, relaxed); values from VASP
&SYSTEM
  ibrav = 0, nat = 17, ntyp = 3
/
ATOMIC_SPECIES
La 138.91 La.upf
Co 58.93 Co.upf
As 74.92 As.upf
CELL_PARAMETERS angstrom
-4.198 4.198 4.198
4.198 -4.198 4.198
4.198 4.198 -4.198
ATOMIC_POSITIONS crystal
La 0.000 0.000 0.000
Co 0.000 0.000 0.500
Co 0.000 0.500 0.000
Co 0.500 0.000 0.000
Co 0.500 0.500 0.500
As 0.155 0.500 0.344
As 0.155 0.811 0.656
As 0.189 0.344 0.845
As 0.344 0.155 0.500
As 0.344 0.845 0.189
As 0.500 0.344 0.155
As 0.500 0.656 0.845
As 0.656 0.155 0.811
As 0.656 0.845 0.500
As 0.811 0.656 0.155
As 0.845 0.189 0.344
As 0.845 0.500 0.656
! energy relative to the elements = -0.40 eV per atom
! symmetry = Im-3, No. 204
! total DFT energy (no corrections) = -95.9 eV for the cell shown
! crystal system = cubic
! total moment = 0.0 μB/f.u.
! DOS(E_F) = 12.941 states/eV per cell



No. 3
! LaCo3As (PBE, relaxed); values from VASP
&SYSTEM
  ibrav = 0, nat = 5, ntyp = 3
/
ATOMIC_SPECIES
La 138.91 La.upf
Co 58.93 Co.upf
As 74.92 As.upf
CELL_PARAMETERS angstrom
4.467 0.000 0.000
0.000 4.467 0.000
0.000 0.000 4.467
ATOMIC_POSITIONS crystal
La 0.000 0.000 0.000
Co 0.000 0.500 0.500
Co 0.500 0.000 0.500
Co 0.500 0.500 0.000
As 0.500 0.500 0.500
! energy relative to the elements = 0.02 eV per atom
! symmetry = Pm-3m, No. 221
! polymorph energy (0 for the lowest one) = 0.000 eV/atom
! total DFT energy (no corrections) = -30.8 eV for the cell shown
! crystal system = cubic
! total moment = 3.0 μB/f.u.
! DOS(E_F) = 3.180 states/eV per cell



No. 4
! LaCoAs2 (PBE, relaxed); values from VASP
&SYSTEM
  ibrav = 0, nat = 4, ntyp = 3
/
ATOMIC_SPECIES
La 138.91 La.upf
Co 58.93 Co.upf
As 74.92 As.upf
CELL_PARAMETERS angstrom
-1.761 1.872 6.197
1.761 -1.872 6.197
1.761 1.872 -6.197
ATOMIC_POSITIONS crystal
La 0.000 0.000 0.000
Co 0.252 0.752 0.500
As 0.377 0.377 0.000
As 0.695 0.195 0.500
! energy relative to the elements = -0.43 eV per atom
! symmetry = Imm2, No. 44
! total DFT energy (no corrections) = -23.1 eV for the cell shown
! crystal system = orthorhombic
! total moment = 0.0 μB/f.u.
! DOS(E_F) = 1.428 states/eV per cell



No. 5
! LaCo4As (PBE, relaxed); values from VASP
&SYSTEM
  ibrav = 0, nat = 6, ntyp = 3
/
ATOMIC_SPECIES
La 138.91 La.upf
Co 58.93 Co.upf
As 74.92 As.upf
CELL_PARAMETERS angstrom
0.000 3.579 3.579
3.579 0.000 3.579
3.579 3.579 0.000
ATOMIC_POSITIONS crystal
La 0.000 0.000 0.000
Co 0.376 0.376 0.376
Co 0.376 0.376 0.872
Co 0.376 0.872 0.376
Co 0.872 0.376 0.376
As 0.750 0.750 0.750
! energy relative to the elements = 0.04 eV per atom
! symmetry = F-43m, No. 216
! total DFT energy (no corrections) = -37.8 eV for the cell shown
! crystal system = cubic
! total moment = 6.1 μB/f.u.
! DOS(E_F) = 7.831 states/eV per cell



No. 6
! LaCoAs3 (PBE, relaxed); values from VASP
&SYSTEM
  ibrav = 0, nat = 5, ntyp = 3
/
ATOMIC_SPECIES
La 138.91 La.upf
Co 58.93 Co.upf
As 74.92 As.upf
CELL_PARAMETERS angstrom
5.631 0.000 0.000
0.000 5.631 0.000
0.000 0.000 5.631
ATOMIC_POSITIONS crystal
La 0.000 0.000 0.000
Co 0.500 0.500 0.500
As 0.000 0.000 0.500
As 0.000 0.500 0.000
As 0.500 0.000 0.000
! energy relative to the elements = 1.25 eV per atom
! symmetry = Pm-3m, No. 221
! total DFT energy (no corrections) = -19.8 eV for the cell shown
! crystal system = cubic
! total moment = 2.0 μB/f.u.
! DOS(E_F) = 11.069 states/eV per cell



No. 7
! LaCoMoAs2 (PBE, relaxed); values from VASP
&SYSTEM
  ibrav = 0, nat = 5, ntyp = 4
/
ATOMIC_SPECIES
La 138.91 La.upf
Co 58.93 Co.upf
Mo 95.94 Mo.upf
As 74.92 As.upf
CELL_PARAMETERS angstrom
5.417 0.000 0.000
0.000 5.417 0.000
0.000 0.000 4.397
ATOMIC_POSITIONS crystal
La 0.000 0.000 0.000
Co 0.000 0.000 0.500
Mo 0.500 0.500 0.500
As 0.000 0.500 0.000
As 0.500 0.000 0.000
! energy relative to the elements = 1.79 eV per atom
! symmetry = P4/mmm, No. 123
! total DFT energy (no corrections) = -23.2 eV for the cell shown
! crystal system = tetragonal
! total moment = 0.0 μB/f.u.
! DOS(E_F) = 12.806 states/eV per cell



No. 8
! LaCo2AsN (PBE, relaxed); values from VASP
&SYSTEM
  ibrav = 0, nat = 10, ntyp = 4
/
ATOMIC_SPECIES
La 138.91 La.upf
Co 58.93 Co.upf
As 74.92 As.upf
N 14.01 N.upf
CELL_PARAMETERS angstrom
1.893 -5.542 0.000
1.893 5.542 0.000
0.000 0.000 6.948
ATOMIC_POSITIONS crystal
La 0.044 0.956 0.750
La 0.956 0.044 0.250
Co 0.337 0.663 0.553
Co 0.337 0.663 0.947
Co 0.663 0.337 0.053
Co 0.663 0.337 0.447
As 0.229 0.771 0.250
As 0.771 0.229 0.750
N 0.500 0.500 0.000
N 0.500 0.500 0.500
! symmetry = Cmcm, No. 63
! total DFT energy (no corrections) = -71.6 eV for the cell shown
! crystal system = orthorhombic
! formation energy from raw total energies = -0.733 eV/atom
! total moment = 1.6 μB/f.u.
! DOS(E_F) = 6.325 states/eV per cell



No. 9
! La2Co3NiAs4 (PBE, relaxed); values from VASP
&SYSTEM
  ibrav = 0, nat = 10, ntyp = 4
/
ATOMIC_SPECIES
La 138.91 La.upf
Co 58.93 Co.upf
Ni 58.69 Ni.upf
As 74.92 As.upf
CELL_PARAMETERS angstrom
4.216 0.000 0.000
0.000 4.216 0.000
0.000 0.000 9.555
ATOMIC_POSITIONS crystal
La 0.000 0.500 0.249
La 0.500 0.000 0.751
Co 0.000 0.500 0.887
Co 0.500 0.000 0.113
Co 0.500 0.500 0.500
Ni 0.000 0.000 0.500
As 0.000 0.000 0.000
As 0.000 0.500 0.635
As 0.500 0.000 0.365
As 0.500 0.500 0.000
! energy relative to the elements = -0.79 eV per atom
! symmetry = P-4m2, No. 115
! total DFT energy (no corrections) = -63.5 eV for the cell shown
! crystal system = tetragonal
! total moment = 1.2 μB/f.u.
! DOS(E_F) = 6.310 states/eV per cell



No. 10
! LaCoNiAs2 (PBE, relaxed); values from VASP
&SYSTEM
  ibrav = 0, nat = 5, ntyp = 4
/
ATOMIC_SPECIES
La 138.91 La.upf
Co 58.93 Co.upf
Ni 58.69 Ni.upf
As 74.92 As.upf
CELL_PARAMETERS angstrom
-2.020 2.020 5.418
2.020 -2.020 5.418
2.020 2.020 -5.418
ATOMIC_POSITIONS crystal
La 0.000 0.000 0.000
Co 0.750 0.250 0.500
Ni 0.250 0.750 0.500
As 0.363 0.363 0.000
As 0.637 0.637 0.000
! energy relative to the elements = -0.78 eV per atom
! symmetry = I-4m2, No. 119
! total DFT energy (no corrections) = -31.0 eV for the cell shown
! crystal system = tetragonal
! total moment = 1.2 μB/f.u.
! DOS(E_F) = 4.752 states/eV per cell



No. 11
! La2CoNi3As4 (PBE, relaxed); values from VASP
&SYSTEM
  ibrav = 0, nat = 10, ntyp = 4
/
ATOMIC_SPECIES
La 138.91 La.upf
Co 58.93 Co.upf
Ni 58.69 Ni.upf
As 74.92 As.upf
CELL_PARAMETERS angstrom
4.238 0.000 0.000
0.000 4.238 0.000
0.000 0.000 9.604
ATOMIC_POSITIONS crystal
La 0.000 0.500 0.248
La 0.500 0.000 0.752
Co 0.500 0.500 0.000
Ni 0.000 0.000 0.000
Ni 0.000 0.500 0.617
Ni 0.500 0.000 0.383
As 0.000 0.000 0.500
As 0.000 0.500 0.870
As 0.500 0.000 0.130
As 0.500 0.500 0.500
! energy relative to the elements = -0.84 eV per atom
! symmetry = P-4m2, No. 115
! total DFT energy (no corrections) = -61.3 eV for the cell shown
! crystal system = tetragonal
! total moment = 1.2 μB/f.u.
! DOS(E_F) = 4.821 states/eV per cell